FeAgPCl2 | Alexandria via LeMat-Bulk | PBE | optimized geometry; ΔE to the lowest computed polymorph = 0 meV/atom; electronic total energy = -19.5 eV for the cell shown; E_form (uncorrected) = 0.180 eV per atom; N(E_F) = 3.3 states/eV/cell
1.0
4.936 0.000 0.000
0.000 4.936 0.000
0.000 0.000 4.306
Fe Cl Ag P
1 2 1 1
Direct
0.000 0.000 0.000 Fe
0.000 0.500 0.000 Cl
0.500 0.000 0.000 Cl
0.500 0.500 0.500 Ag
0.000 0.000 0.500 P

---

HgGeRh2 | Alexandria via LeMat-Bulk | PBE | optimized geometry; ΔE to the lowest computed polymorph = 102 meV/atom; electronic total energy = -20.3 eV for the cell shown; N(E_F) = 4.1 states/eV/cell; energy of formation = -15 kJ/mol of atoms
1.0
-2.010 -1.723 1.543
-2.205 -1.503 -1.507
3.511 -7.508 -0.767
Rh Hg Ge
2 1 1
Direct
0.739 0.739 0.784 Rh
0.261 0.261 0.216 Rh
0.500 0.500 0.500 Hg
0.000 0.000 0.000 Ge

---

Tl2BiOsO6 | Alexandria via LeMat-Bulk | PBE | optimized geometry; electronic total energy = -58.1 eV for the cell shown; E_form (uncorrected) = -0.851 eV per atom; N(E_F) = 3.8 states/eV/cell
1.0
-1.832 -2.229 -5.259
-5.405 -2.180 2.807
0.144 5.936 -2.566
O Bi Tl Os
6 1 2 1
Direct
0.804 0.136 0.272 O
0.804 0.728 0.864 O
0.196 0.864 0.728 O
0.804 0.136 0.864 O
0.196 0.864 0.136 O
0.196 0.272 0.136 O
0.500 0.000 0.000 Bi
0.036 0.333 0.667 Tl
0.964 0.667 0.333 Tl
0.000 0.000 0.000 Os